Density functional theory data (PBE-GGA) for a relaxed CdPb2W crystal.

## Properties
Its space group is P4/mmm (123). For the formation energy, the calculation gives 0.785 eV per atom. Its electronic total energy is -18.1 eV per cell.

a b c (Å): 3.7348 3.7348 6.6000
angles (deg): 90.00 90.00 90.00
Last column: nearest neighbours and their distance in Å.
Fractional positions:
Cd 0.0000 0.0000 0.0000  8 Pb 3.18, 2 W 3.30
Pb 0.5000 0.5000 0.2681  4 W 3.05, 1 Pb 3.06, 4 Cd 3.18
Pb 0.5000 0.5000 0.7319  4 W 3.05, 1 Pb 3.06, 4 Cd 3.18
W 0.0000 0.0000 0.5000  8 Pb 3.05, 2 Cd 3.30

---

Density functional theory data (PBE-GGA) for a relaxed KTlCuF6 crystal.

## Properties
Its space group is Imma (74). Its electronic total energy is -72.1 eV per cell. As for the uncorrected formation energy: -1920 meV/atom.

a b c (Å): 7.2872 7.2872 7.2872
angles (deg): 120.24 118.35 91.24
Last column: nearest neighbours and their distance in Å.
Fractional positions:
K 0.4136 0.1636 0.2500  9 F 2.80-3.03
K 0.5864 0.8364 0.7500  9 F 2.80-3.03
Tl 0.0000 0.0000 0.5000  8 F 2.25-2.42
Tl 0.0000 0.5000 0.0000  8 F 2.25-2.42
Cu 0.0000 0.5000 0.5000  4 F 1.96
Cu 0.5000 0.5000 0.0000  4 F 1.96
F 0.1302 0.8802 0.2500  2 Tl 2.25
F 0.1375 0.3875 0.7500  2 Cu 2.19, 2 Tl 2.29
F 0.1570 0.4362 0.3311  1 Cu 1.96
F 0.1570 0.8258 0.7208  1 Cu 1.96
F 0.3950 0.1742 0.8311  1 Cu 1.96
F 0.3950 0.5638 0.2208  1 Cu 1.96
F 0.6050 0.4362 0.7792  1 Cu 1.96
F 0.6050 0.8258 0.1689  1 Cu 1.96
F 0.8430 0.1742 0.2792  1 Cu 1.96
F 0.8430 0.5638 0.6689  1 Cu 1.96
F 0.8625 0.6125 0.2500  2 Cu 2.19, 2 Tl 2.29
F 0.8698 0.1198 0.7500  2 Tl 2.25

---

Density functional theory data (PBE-GGA) for a relaxed Mg2ZrPb crystal.

## Properties
Its space group is P2/m (10). For the formation energy, the calculation gives 0.011 eV per atom. Its electronic total energy is -15.4 eV per cell.

a b c (Å): 3.3370 4.6154 6.2059
angles (deg): 90.00 97.55 90.00
Last column: nearest neighbours and their distance in Å.
Fractional positions:
Mg 0.0336 0.0000 0.2340  1 Mg 2.88, 2 Pb 3.13, 2 Zr 3.15
Mg 0.9664 0.0000 0.7660  1 Mg 2.88, 2 Pb 3.13, 2 Zr 3.15
Zr 0.5000 0.5000 0.0000  2 Pb 3.10, 8 Mg 3.15-3.23, 2 Zr 3.34
Pb 0.5000 0.5000 0.5000  2 Zr 3.10, 8 Mg 3.13-3.46, 2 Pb 3.34

---

Density functional theory data (PBE-GGA) for a relaxed Ti5Nb4W2 crystal.

## Properties
Its space group is P-1 (2). For the formation energy, the calculation gives 0.179 eV per atom. Its electronic total energy is -103.7 eV per cell. The distance to the lowest polymorph of the same formula comes out at 0.00 eV/f.u.

a b c (Å): 2.9210 7.5983 8.9808
angles (deg): 80.06 87.93 89.22
Last column: nearest neighbours and their distance in Å.
Fractional positions:
Ti 0.0000 0.0000 0.0000  4 Nb 2.52-2.74
Ti 0.2752 0.8744 0.6839  1 W 2.73, 3 Ti 2.84-2.92, 2 Nb 2.85-3.03
Ti 0.2876 0.3305 0.5176  2 W 2.60-2.81, 2 Nb 2.61-2.84, 2 Ti 2.84
Ti 0.7124 0.6695 0.4824  2 W 2.60-2.81, 2 Nb 2.61-2.84, 2 Ti 2.84
Ti 0.7248 0.1256 0.3161  1 W 2.73, 3 Ti 2.84-2.92, 2 Nb 2.85-3.03
Nb 0.3068 0.8188 0.2376  2 Ti 2.52-2.61, 1 W 2.77
Nb 0.3375 0.3295 0.0201  2 W 2.71-2.85, 4 Nb 2.73-2.92, 1 Ti 2.74
Nb 0.6625 0.6705 0.9799  2 W 2.71-2.85, 4 Nb 2.73-2.92, 1 Ti 2.74
Nb 0.6932 0.1812 0.7624  2 Ti 2.52-2.61, 1 W 2.77
W 0.0112 0.5259 0.7447  3 Ti 2.60-2.81, 3 Nb 2.71-2.85
W 0.9888 0.4741 0.2553  3 Ti 2.60-2.81, 3 Nb 2.71-2.85

---

Density functional theory data (PBE-GGA) for a relaxed HoGa2Br8 crystal.

## Properties
Its space group is C2/m (12). Its electronic total energy is -35.8 eV per cell. As for the uncorrected formation energy: -1067 meV/atom.

a b c (Å): 8.3113 8.3113 6.7805
angles (deg): 98.90 98.90 77.10
Last column: nearest neighbours and their distance in Å.
Fractional positions:
Ho 0.0000 0.0000 0.0000  6 Br 2.81-2.83
Ga 0.2015 0.2015 0.6711  4 Br 2.35-2.53
Ga 0.7985 0.7985 0.3289  4 Br 2.35-2.53
Br 0.0835 0.7246 0.2157  1 Ga 2.52, 1 Ho 2.81
Br 0.1881 0.1881 0.2932  1 Ga 2.53, 1 Ho 2.83
Br 0.2754 0.9165 0.7843  1 Ga 2.52, 1 Ho 2.81
Br 0.3789 0.3789 0.8307  1 Ga 2.35
Br 0.6211 0.6211 0.1693  1 Ga 2.35
Br 0.7246 0.0835 0.2157  1 Ga 2.52, 1 Ho 2.81
Br 0.8119 0.8119 0.7068  1 Ga 2.53, 1 Ho 2.83
Br 0.9165 0.2754 0.7843  1 Ga 2.52, 1 Ho 2.81

---

Density functional theory data (PBE-GGA) for a relaxed ScFeAsBr2 crystal.

## Properties
Its space group is P4/mmm (123). Its electronic total energy is -22.6 eV per cell. The distance to the lowest polymorph of the same formula comes out at 0.00 eV/f.u. As for the uncorrected formation energy: 32 meV/atom.

a b c (Å): 5.1114 5.1114 5.5009
angles (deg): 90.00 90.00 90.00
Last column: nearest neighbours and their distance in Å.
Fractional positions:
Sc 0.0000 0.0000 0.0000  4 Br 2.56, 2 As 2.75
Fe 0.5000 0.5000 0.5000  4 As 3.61, 8 Br 3.75
As 0.0000 0.0000 0.5000  2 Sc 2.75
Br 0.0000 0.5000 0.0000  2 Sc 2.56
Br 0.5000 0.0000 0.0000  2 Sc 2.56

---

Density functional theory data (PBE-GGA) for a relaxed K2CdIO4 crystal.

## Properties
Its space group is I-4 (82). Its electronic total energy is -31.8 eV per cell. As for the uncorrected formation energy: -909 meV/atom.

a b c (Å): 5.8171 5.8171 5.8171
angles (deg): 112.85 112.85 102.92
Last column: nearest neighbours and their distance in Å.
Fractional positions:
K 0.0000 0.0000 0.0000  8 O 2.84-3.16
K 0.7500 0.2500 0.5000  4 O 2.68
Cd 0.5000 0.5000 0.0000  4 O 2.24
I 0.2500 0.7500 0.5000  4 O 2.07
O 0.1529 0.5335 0.0700  1 I 2.07, 1 Cd 2.24
O 0.4634 0.0829 0.9300  1 I 2.07, 1 Cd 2.24
O 0.4665 0.5366 0.6194  1 I 2.07, 1 Cd 2.24
O 0.9171 0.8471 0.3806  1 I 2.07, 1 Cd 2.24

---

Density functional theory data (PBE-GGA) for a relaxed AgSbCl3 crystal.

## Properties
Its space group is Pm-3m (221). Its electronic total energy is -13.6 eV per cell. The distance to the lowest polymorph of the same formula comes out at 1.54 eV/f.u. As for the uncorrected formation energy: -216 meV/atom.

a b c (Å): 5.3763 5.3763 5.3763
angles (deg): 90.00 90.00 90.00
Last column: nearest neighbours and their distance in Å.
Fractional positions:
Ag 0.0000 0.0000 0.0000  12 Cl 3.80
Sb 0.5000 0.5000 0.5000  6 Cl 2.69
Cl 0.0000 0.5000 0.5000  2 Sb 2.69
Cl 0.5000 0.0000 0.5000  2 Sb 2.69
Cl 0.5000 0.5000 0.0000  2 Sb 2.69

---

Density functional theory data (PBE-GGA) for a relaxed BaCr2As crystal.

## Properties
Its space group is P2/m (10). For the formation energy, the calculation gives 0.401 eV per atom. Its electronic total energy is -24.2 eV per cell.

a b c (Å): 4.1023 4.6514 5.2700
angles (deg): 90.00 94.99 90.00
Last column: nearest neighbours and their distance in Å.
Fractional positions:
Ba 0.0000 0.0000 0.0000  4 As 3.20-3.48, 4 Cr 3.47
Cr 0.3374 0.5000 0.6089  1 Cr 1.83
Cr 0.6626 0.5000 0.3911  1 Cr 1.83
As 0.5000 0.0000 0.5000  4 Cr 2.50

---

Density functional theory data (PBE-GGA) for a relaxed Hf2Zr3Sc7 crystal.

## Properties
Its space group is P2/m (10). For the formation energy, the calculation gives 0.275 eV per atom. Its electronic total energy is -86.6 eV per cell.

a b c (Å): 3.2714 5.0012 18.7271
angles (deg): 90.00 95.02 90.00
Last column: nearest neighbours and their distance in Å.
Fractional positions:
Hf 0.1381 0.0000 0.2758  5 Sc 2.83-3.10
Hf 0.8619 0.0000 0.7242  5 Sc 2.83-3.10
Zr 0.0000 0.0000 0.0000  8 Sc 2.99, 2 Zr 3.27
Zr 0.3333 0.5000 0.6669  4 Hf 3.17, 2 Zr 3.27, 6 Sc 3.31-3.47
Zr 0.6667 0.5000 0.3331  4 Hf 3.17, 2 Zr 3.27, 6 Sc 3.31-3.47
Sc 0.0894 0.5000 0.1787  2 Hf 3.09, 6 Sc 3.10-3.27, 2 Zr 3.31
Sc 0.2137 0.0000 0.4274  1 Hf 2.83, 2 Sc 3.16
Sc 0.4327 0.0000 0.8656  2 Zr 2.99, 6 Sc 3.10-3.27, 2 Hf 3.10
Sc 0.5000 0.5000 0.0000  4 Zr 2.99, 2 Sc 3.27
Sc 0.5673 0.0000 0.1344  2 Zr 2.99, 6 Sc 3.10-3.27, 2 Hf 3.10
Sc 0.7863 0.0000 0.5726  1 Hf 2.83, 2 Sc 3.16
Sc 0.9106 0.5000 0.8213  2 Hf 3.09, 6 Sc 3.10-3.27, 2 Zr 3.31

---

Density functional theory data (PBE-GGA) for a relaxed Pr2TaSnN5 crystal.

## Properties
Its space group is Cmc2_1 (36). Its electronic total energy is -149.3 eV per cell. As for the uncorrected formation energy: -843 meV/atom.

a b c (Å): 7.3073 7.3073 10.7076
angles (deg): 90.00 90.00 153.51
Last column: nearest neighbours and their distance in Å.
Fractional positions:
Pr 0.1168 0.8832 0.5000  3 N 2.46-2.51
Pr 0.1344 0.8656 0.0751  6 N 2.52-2.59
Pr 0.8656 0.1344 0.5751  6 N 2.52-2.59
Pr 0.8832 0.1168 0.0000  3 N 2.46-2.51
Ta 0.2259 0.7741 0.7989  5 N 1.97-2.19
Ta 0.7741 0.2259 0.2989  5 N 1.97-2.19
Sn 0.4822 0.5178 0.2651  4 N 2.03-2.21
Sn 0.5178 0.4822 0.7651  4 N 2.03-2.21
N 0.0669 0.9331 0.8506  2 Sn 2.03
N 0.2811 0.7189 0.4297  2 Ta 2.19
N 0.2998 0.7002 0.1725  2 Ta 2.18
N 0.3645 0.6355 0.7967  1 Ta 1.97, 1 Sn 2.21
N 0.4983 0.5017 0.5743  1 Sn 2.06
N 0.5017 0.4983 0.0743  1 Sn 2.06
N 0.6355 0.3645 0.2967  1 Ta 1.97, 1 Sn 2.21
N 0.7002 0.2998 0.6725  2 Ta 2.18
N 0.7189 0.2811 0.9297  2 Ta 2.19
N 0.9331 0.0669 0.3506  2 Sn 2.03

---

Density functional theory data (PBE-GGA) for a relaxed CoNiCl4 crystal.

## Properties
Its space group is F-43m (216). Its electronic total energy is -12.7 eV per cell. As for the uncorrected formation energy: 1268 meV/atom.

a b c (Å): 5.7840 5.7840 5.7840
angles (deg): 60.00 60.00 60.00
Last column: nearest neighbours and their distance in Å.
Fractional positions:
Co 0.0000 0.0000 0.0000  12 Cl 3.39, 4 Ni 3.54
Ni 0.7500 0.7500 0.7500  12 Cl 3.39, 4 Co 3.54
Cl 0.3749 0.3749 0.3749  6 Cl 2.89-2.90
Cl 0.3749 0.3749 0.8754  6 Cl 2.89-2.90
Cl 0.3749 0.8754 0.3749  6 Cl 2.89-2.90
Cl 0.8754 0.3749 0.3749  6 Cl 2.89-2.90

---

Density functional theory data (PBE-GGA) for a relaxed PmCdNi2 crystal.

## Properties
Its space group is P4/mmm (123). For the formation energy, the calculation gives -0.087 eV per atom. Its electronic total energy is -17.6 eV per cell. The distance to the lowest polymorph of the same formula comes out at 1.00 eV/f.u.

a b c (Å): 4.6192 4.6192 3.3646
angles (deg): 90.00 90.00 90.00
Last column: nearest neighbours and their distance in Å.
Fractional positions:
Pm 0.0000 0.0000 0.0000  8 Ni 2.86
Cd 0.5000 0.5000 0.0000  8 Ni 2.86
Ni 0.0000 0.5000 0.5000  4 Cd 2.86, 4 Pm 2.86
Ni 0.5000 0.0000 0.5000  4 Cd 2.86, 4 Pm 2.86

---

Density functional theory data (PBE-GGA) for a relaxed CrAsAu2 crystal.

## Properties
Its space group is Cm (8). For the formation energy, the calculation gives 0.186 eV per atom. Its electronic total energy is -20.1 eV per cell.

a b c (Å): 4.9205 4.9205 5.0415
angles (deg): 96.25 96.25 36.93
Last column: nearest neighbours and their distance in Å.
Fractional positions:
Cr 0.0000 0.0000 0.0000  3 As 2.63-2.80, 2 Au 2.81
As 0.2785 0.2785 0.8462  3 Cr 2.63-2.80, 3 Au 2.64-2.77
Au 0.4691 0.4691 0.4976  1 As 2.64, 3 Au 2.71-2.91
Au 0.7201 0.7201 0.2753  3 Au 2.71-2.91, 2 As 2.77, 2 Cr 2.81

---

Density functional theory data (PBE-GGA) for a relaxed Sc2SbF crystal.

## Properties
Its space group is R-3m (166). Its electronic total energy is -22.5 eV per cell. The distance to the lowest polymorph of the same formula comes out at 1.27 eV/f.u. As for the uncorrected formation energy: -958 meV/atom.

a b c (Å): 9.2780 9.2780 9.2780
angles (deg): 20.16 20.16 20.16
Last column: nearest neighbours and their distance in Å.
Fractional positions:
Sc 0.1050 0.1050 0.1050  3 F 2.52
Sc 0.8950 0.8950 0.8950  3 F 2.52
Sb 0.0000 0.0000 0.0000  2 Sc 2.86
F 0.5000 0.5000 0.5000  6 Sc 2.52